LiFeP2HO7: optimized geometry, PBE+U.

Its total energy is -6.6708 eV/atom. As for the spin magnetization: 8.00 μB per cell.

The structure belongs to space group P-1 (No. 2); the cell edges are 6.002, 6.793 and 7.801 Å and the angles 87.19°, 82.13° and 69.55°. The inequivalent atoms are Li at (0.073, 0.349, 0.119), Fe at (0.245, 0.700, 0.257), P at (0.247, 0.231, 0.706), P at (0.395, 0.790, 0.845), H at (0.299, 0.581, 0.690), O at (0.070, 0.230, 0.581), O at (0.100, 0.327, 0.877), O at (0.210, 0.717, 0.759), O at (0.301, 0.852, 0.031), O at (0.359, 0.379, 0.189), O at (0.417, 0.989, 0.737) and O at (0.432, 0.336, 0.638).